No. 1
The following is a DFT calculation (PBE) of a geometry-optimized CdTcAg2 structure.

The structure in CIF format:
```
data_CdTcAg2
_symmetry_space_group_name_H-M 'P m m m'
_symmetry_Int_Tables_number 47
_cell_length_a 2.764
_cell_length_b 4.324
_cell_length_c 5.856
_cell_angle_alpha 90.00
_cell_angle_beta 90.00
_cell_angle_gamma 90.00
loop_
_symmetry_equiv_pos_as_xyz
'x,y,z'
'-x,-y,-z'
'-x,-y,z'
'x,y,-z'
'x,-y,-z'
'-x,y,z'
'-x,y,-z'
'x,-y,z'
loop_
_atom_site_label
_atom_site_type_symbol
_atom_site_fract_x
_atom_site_fract_y
_atom_site_fract_z
_atom_site_occupancy
Cd1 Cd 0.000 0.000 0.000 1
Tc1 Tc 0.000 0.000 0.500 1
Ag1 Ag 0.500 0.500 0.261 1
```

Calculated values
E_form: 0.432 eV per atom
VASP energy: -3.814 eV per atom
Crystal system: orthorhombic
Size of the total moment: 0.178 μB per atom

=====

No. 2
The following is a DFT calculation (PBE) of a geometry-optimized YGa2Cu3 structure.

The structure in CIF format:
```
data_YGa2Cu3
_symmetry_space_group_name_H-M 'C 1 2/m 1'
_symmetry_Int_Tables_number 12
_cell_length_a 15.961
_cell_length_b 4.005
_cell_length_c 9.637
_cell_angle_alpha 90.00
_cell_angle_beta 105.68
_cell_angle_gamma 90.00
loop_
_symmetry_equiv_pos_as_xyz
'x,y,z'
'-x,-y,-z'
'-x,y,-z'
'x,-y,z'
'x+1/2,y+1/2,z'
'-x+1/2,-y+1/2,-z'
'-x+1/2,y+1/2,-z'
'x+1/2,-y+1/2,z'
loop_
_atom_site_label
_atom_site_type_symbol
_atom_site_fract_x
_atom_site_fract_y
_atom_site_fract_z
_atom_site_occupancy
Y1 Y 0.000 0.000 0.000 1
Y2 Y 0.156 0.000 0.710 1
Ga1 Ga 0.017 0.500 0.765 1
Ga2 Ga 0.151 0.500 0.465 1
Ga3 Ga 0.207 0.000 0.097 1
Cu1 Cu 0.000 0.500 0.500 1
Cu2 Cu 0.051 0.000 0.371 1
Cu3 Cu 0.133 0.500 0.198 1
Cu4 Cu 0.149 0.500 0.953 1
Cu5 Cu 0.207 0.000 0.357 1
```

Calculated values
E_form: -0.347 eV per atom
VASP energy: -4.481 eV per atom
Crystal system: monoclinic
Size of the total moment: 0.000 μB per atom

=====

No. 3
The following is a DFT calculation (PBE) of a geometry-optimized AlAgI2 structure.

The structure in CIF format:
```
data_AlAgI2
_symmetry_space_group_name_H-M 'I -4 2 d'
_symmetry_Int_Tables_number 122
_symmetry_space_group_name_Hall 'I -4 2bw'
_cell_length_a 8.011
_cell_length_b 8.011
_cell_length_c 9.115
_cell_angle_alpha 90.00
_cell_angle_beta 90.00
_cell_angle_gamma 90.00
loop_
_atom_site_label
_atom_site_type_symbol
_atom_site_fract_x
_atom_site_fract_y
_atom_site_fract_z
_atom_site_occupancy
Al1 Al 0.000 0.000 0.000 1
Ag1 Ag 0.000 0.000 0.500 1
I1 I 0.216 0.250 0.625 1
```

Calculated values
VASP energy: -2.447 eV per atom
Formation energy without anion corrections: -0.023 eV/atom
Crystal system: tetragonal
Size of the total moment: 0.000 μB per atom

=====

No. 4
The following is a DFT calculation (PBE) of a geometry-optimized Y3TiPd12 structure.

The structure in CIF format:
```
data_Y3TiPd12
_symmetry_space_group_name_H-M 'P 4/m m m'
_symmetry_Int_Tables_number 123
_symmetry_space_group_name_Hall '-P 4 2'
_cell_length_a 4.087
_cell_length_b 4.087
_cell_length_c 16.293
_cell_angle_alpha 90.00
_cell_angle_beta 90.00
_cell_angle_gamma 90.00
loop_
_atom_site_label
_atom_site_type_symbol
_atom_site_fract_x
_atom_site_fract_y
_atom_site_fract_z
_atom_site_occupancy
Y1 Y 0.000 0.000 0.000 1
Y2 Y 0.000 0.000 0.256 1
Ti1 Ti 0.000 0.000 0.500 1
Pd1 Pd 0.000 0.500 0.129 1
Pd2 Pd 0.000 0.500 0.387 1
Pd3 Pd 0.500 0.500 0.000 1
Pd4 Pd 0.500 0.500 0.258 1
Pd5 Pd 0.500 0.500 0.500 1
```

Calculated values
E_form: -0.795 eV per atom
VASP energy: -6.395 eV per atom
Crystal system: tetragonal
Size of the total moment: 0.000 μB per atom

=====

No. 5
The following is a DFT calculation (PBE) of a geometry-optimized Th2NiGeC structure.

The structure in CIF format:
```
data_Th2NiGeC
_symmetry_space_group_name_H-M 'P 1 21/m 1'
_symmetry_Int_Tables_number 11
_cell_length_a 6.473
_cell_length_b 3.935
_cell_length_c 8.318
_cell_angle_alpha 90.00
_cell_angle_beta 106.29
_cell_angle_gamma 90.00
loop_
_symmetry_equiv_pos_as_xyz
'x,y,z'
'-x,-y,-z'
'-x,y+1/2,-z'
'x,-y+1/2,z'
loop_
_atom_site_label
_atom_site_type_symbol
_atom_site_fract_x
_atom_site_fract_y
_atom_site_fract_z
_atom_site_occupancy
Th1 Th 0.212 0.250 0.385 1
Th2 Th 0.224 0.250 0.961 1
Ni1 Ni 0.466 0.750 0.245 1
Ge1 Ge 0.303 0.750 0.685 1
C1 C 0.159 0.750 0.162 1
```

Calculated values
E_form: -0.577 eV per atom
VASP energy: -7.469 eV per atom
Crystal system: monoclinic
Size of the total moment: 0.000 μB per atom

=====

No. 6
The following is a DFT calculation (PBE) of a geometry-optimized RbCo3Pt structure.

The structure in CIF format:
```
data_RbCo3Pt
_symmetry_space_group_name_H-M 'P m -3 m'
_symmetry_Int_Tables_number 221
_symmetry_space_group_name_Hall '-P 4 2 3'
_cell_length_a 4.480
_cell_length_b 4.480
_cell_length_c 4.480
_cell_angle_alpha 90.00
_cell_angle_beta 90.00
_cell_angle_gamma 90.00
loop_
_atom_site_label
_atom_site_type_symbol
_atom_site_fract_x
_atom_site_fract_y
_atom_site_fract_z
_atom_site_occupancy
Rb1 Rb 0.000 0.000 0.000 1
Co1 Co 0.000 0.000 0.500 1
Pt1 Pt 0.500 0.500 0.500 1
```

Calculated values
E_form: 2.507 eV per atom
VASP energy: -3.158 eV per atom
Crystal system: cubic
Size of the total moment: 0.897 μB per atom

=====

No. 7
The following is a DFT calculation (PBE) of a geometry-optimized Pu2Pa2Al structure.

The structure in CIF format:
```
data_Pu2Pa2Al
_symmetry_space_group_name_H-M 'C 1 2/c 1'
_symmetry_Int_Tables_number 15
_cell_length_a 7.151
_cell_length_b 7.152
_cell_length_c 8.049
_cell_angle_alpha 90.00
_cell_angle_beta 95.11
_cell_angle_gamma 90.00
loop_
_symmetry_equiv_pos_as_xyz
'x,y,z'
'-x,-y,-z'
'-x,y,-z+1/2'
'x,-y,z+1/2'
'x+1/2,y+1/2,z'
'-x+1/2,-y+1/2,-z'
'-x+1/2,y+1/2,-z+1/2'
'x+1/2,-y+1/2,z+1/2'
loop_
_atom_site_label
_atom_site_type_symbol
_atom_site_fract_x
_atom_site_fract_y
_atom_site_fract_z
_atom_site_occupancy
Pu1 Pu 0.052 0.211 0.121 1
Pa1 Pa 0.222 0.470 0.509 1
Al1 Al 0.000 0.211 0.750 1
```

Calculated values
E_form: 0.074 eV per atom
VASP energy: -10.206 eV per atom
Crystal system: monoclinic
Size of the total moment: 0.331 μB per atom

=====

No. 8
The following is a DFT calculation (PBE) of a geometry-optimized TbNb4N6 structure.

The structure in CIF format:
```
data_TbNb4N6
_symmetry_space_group_name_H-M 'C m c m'
_symmetry_Int_Tables_number 63
_symmetry_space_group_name_Hall '-C 2c 2'
_cell_length_a 3.148
_cell_length_b 10.330
_cell_length_c 15.770
_cell_angle_alpha 90.00
_cell_angle_beta 90.00
_cell_angle_gamma 90.00
loop_
_atom_site_label
_atom_site_type_symbol
_atom_site_fract_x
_atom_site_fract_y
_atom_site_fract_z
_atom_site_occupancy
Tb1 Tb 0.000 0.154 0.250 1
Nb1 Nb 0.000 0.101 0.631 1
Nb2 Nb 0.000 0.354 0.542 1
N1 N 0.000 0.000 0.000 1
N2 N 0.000 0.171 0.750 1
N3 N 0.000 0.264 0.093 1
N4 N 0.000 0.463 0.659 1
```

Calculated values
VASP energy: -9.736 eV per atom
Formation energy without anion corrections: -1.112 eV/atom
Crystal system: orthorhombic
Size of the total moment: 0.000 μB per atom

=====

No. 9
The following is a DFT calculation (PBE) of a geometry-optimized KTaBr2 structure.

The structure in CIF format:
```
data_KTaBr2
_symmetry_space_group_name_H-M 'P m m 2'
_symmetry_Int_Tables_number 25
_cell_length_a 3.277
_cell_length_b 4.499
_cell_length_c 7.441
_cell_angle_alpha 90.00
_cell_angle_beta 90.00
_cell_angle_gamma 90.00
loop_
_symmetry_equiv_pos_as_xyz
'x,y,z'
'-x,-y,z'
'-x,y,z'
'x,-y,z'
loop_
_atom_site_label
_atom_site_type_symbol
_atom_site_fract_x
_atom_site_fract_y
_atom_site_fract_z
_atom_site_occupancy
K1 K 0.000 0.000 0.000 1
Ta1 Ta 0.500 0.500 0.403 1
Br1 Br 0.000 0.000 0.466 1
Br2 Br 0.500 0.500 0.761 1
```

Calculated values
VASP energy: -4.063 eV per atom
Formation energy without anion corrections: 0.011 eV/atom
Crystal system: orthorhombic
Size of the total moment: 0.413 μB per atom

=====

No. 10
The following is a DFT calculation (PBE) of a geometry-optimized KGeBr3 structure.

The structure in CIF format:
```
data_KGeBr3
_symmetry_space_group_name_H-M 'P 4 m m'
_symmetry_Int_Tables_number 99
_cell_length_a 4.904
_cell_length_b 4.904
_cell_length_c 8.227
_cell_angle_alpha 90.00
_cell_angle_beta 90.00
_cell_angle_gamma 90.00
loop_
_symmetry_equiv_pos_as_xyz
'x,y,z'
'-y,x,z'
'-x,-y,z'
'y,-x,z'
'-x,y,z'
'y,x,z'
'x,-y,z'
'-y,-x,z'
loop_
_atom_site_label
_atom_site_type_symbol
_atom_site_fract_x
_atom_site_fract_y
_atom_site_fract_z
_atom_site_occupancy
K1 K 0.000 0.000 0.000 1
Ge1 Ge 0.500 0.500 0.425 1
Br1 Br 0.000 0.000 0.629 1
Br2 Br 0.000 0.500 0.264 1
```

Calculated values
VASP energy: -2.891 eV per atom
Formation energy without anion corrections: -0.744 eV/atom
Crystal system: tetragonal
Size of the total moment: 0.000 μB per atom

=====

No. 11
The following is a DFT calculation (PBE) of a geometry-optimized RbAs2RuN structure.

The structure in CIF format:
```
data_RbAs2RuN
_symmetry_space_group_name_H-M 'P 4/m m m'
_symmetry_Int_Tables_number 123
_symmetry_space_group_name_Hall '-P 4 2'
_cell_length_a 5.882
_cell_length_b 5.882
_cell_length_c 5.289
_cell_angle_alpha 90.00
_cell_angle_beta 90.00
_cell_angle_gamma 90.00
loop_
_atom_site_label
_atom_site_type_symbol
_atom_site_fract_x
_atom_site_fract_y
_atom_site_fract_z
_atom_site_occupancy
Rb1 Rb 0.000 0.000 0.000 1
As1 As 0.000 0.500 0.000 1
Ru1 Ru 0.000 0.000 0.500 1
N1 N 0.500 0.500 0.500 1
```

Calculated values
VASP energy: -2.358 eV per atom
Formation energy without anion corrections: 3.215 eV/atom
Crystal system: tetragonal
Size of the total moment: 0.860 μB per atom

=====

No. 12
The following is a DFT calculation (PBE) of a geometry-optimized Hf3TiNi12 structure.

The structure in CIF format:
```
data_Hf3TiNi12
_symmetry_space_group_name_H-M 'P 4/m m m'
_symmetry_Int_Tables_number 123
_symmetry_space_group_name_Hall '-P 4 2'
_cell_length_a 3.707
_cell_length_b 3.707
_cell_length_c 14.738
_cell_angle_alpha 90.00
_cell_angle_beta 90.00
_cell_angle_gamma 90.00
loop_
_atom_site_label
_atom_site_type_symbol
_atom_site_fract_x
_atom_site_fract_y
_atom_site_fract_z
_atom_site_occupancy
Hf1 Hf 0.000 0.000 0.000 1
Hf2 Hf 0.000 0.000 0.255 1
Ti1 Ti 0.000 0.000 0.500 1
Ni1 Ni 0.000 0.500 0.127 1
Ni2 Ni 0.000 0.500 0.382 1
Ni3 Ni 0.500 0.500 0.000 1
Ni4 Ni 0.500 0.500 0.254 1
Ni5 Ni 0.500 0.500 0.500 1
```

Calculated values
E_form: -0.493 eV per atom
VASP energy: -7.188 eV per atom
Crystal system: tetragonal
Size of the total moment: 0.000 μB per atom

=====

The highest size of the total moment belongs to which entry? RbCo3Pt

=====

Look up the VASP energy of the twelfth one. -7.188 eV per atom